# 1
Density functional theory data (PBE-GGA) for BaNiPb3 after structural relaxation.

Properties
magnetization = 0.0 Bohr magnetons per cell
formation energy from the elements = -0.125 eV per atom
calculated volume = 152 Å³ per cell

a b c (Å): 5.341 5.341 5.341
angles (deg): 90.00 90.00 90.00
Fractional coordinates of all 5 atoms:
Pb (0.000, 0.500, 0.000)
Pb (0.000, 0.000, 0.500)
Pb (0.500, 0.000, 0.000)
Ni (0.000, 0.000, 0.000)
Ba (0.500, 0.500, 0.500)

---

# 2
Density functional theory data (PBE-GGA) for BaNi2Pb2 after structural relaxation.

Properties
magnetization = 0.0 Bohr magnetons per cell
formation energy from the elements = -0.062 eV per atom
calculated volume = 123 Å³ per cell

a b c (Å): 4.731 4.731 6.415
angles (deg): 68.37 68.37 90.00
Fractional coordinates of all 5 atoms:
Pb (0.750, 0.250, 0.500)
Pb (0.250, 0.750, 0.500)
Ni (0.387, 0.387, 0.226)
Ni (0.613, 0.613, 0.774)
Ba (0.000, 0.000, 0.000)

---

# 3
Density functional theory data (PBE-GGA) for BaNiPb2 after structural relaxation.

Properties
magnetization = 0.0 Bohr magnetons per cell
formation energy from the elements = -0.030 eV per atom
calculated volume = 121 Å³ per cell

a b c (Å): 7.467 7.467 7.467
angles (deg): 150.19 144.21 47.24
Fractional coordinates of all 4 atoms:
Ba (0.445, 0.445, 0.000)
Ni (0.220, 0.720, 0.500)
Pb (0.087, 0.087, 0.000)
Pb (0.748, 0.248, 0.500)

---

Repeat the third record exactly.
Density functional theory data (PBE-GGA) for BaNiPb2 after structural relaxation.

Properties
magnetization = 0.0 Bohr magnetons per cell
formation energy from the elements = -0.030 eV per atom
calculated volume = 121 Å³ per cell

a b c (Å): 7.467 7.467 7.467
angles (deg): 150.19 144.21 47.24
Fractional coordinates of all 4 atoms:
Ba (0.445, 0.445, 0.000)
Ni (0.220, 0.720, 0.500)
Pb (0.087, 0.087, 0.000)
Pb (0.748, 0.248, 0.500)